# PBE TlInIBr, relaxed
# total magnetic moment	0.00	μB/f.u.
# uncorrected formation energy	-245.8	kJ/mol of formula units
# excess energy over the best structure of this formula in the dataset	0	meV per atom
# volume	162.75	Å³/f.u.
data_TlInIBr
_chemical_formula_sum 'Tl3 In3 I3 Br3'
_cell_length_a 4.7330
_cell_length_b 4.7330
_cell_length_c 25.1642
_cell_angle_alpha 90.00
_cell_angle_beta 90.00
_cell_angle_gamma 120.00
_space_group_name_H-M_alt 'R 3 m'
_space_group_IT_number 160
_space_group_name_Hall 'R 3 -2"'
loop_
_atom_site_label
_atom_site_type_symbol
_atom_site_fract_x
_atom_site_fract_y
_atom_site_fract_z
Tl1 Tl 0.0000 0.0000 0.0000
In1 In 0.0000 0.0000 0.8421
I1 I 0.0000 0.0000 0.4221
Br1 Br 0.0000 0.0000 0.2518



# PBE LuCuSbRh, relaxed
# total magnetic moment	0.00	μB/f.u.
# uncorrected formation energy	-213.2	kJ/mol of formula units
# volume	71.47	Å³/f.u.
data_LuCuSbRh
_chemical_formula_sum 'Lu4 Cu4 Sb4 Rh4'
_cell_length_a 6.5877
_cell_length_b 6.5877
_cell_length_c 6.5877
_cell_angle_alpha 90.00
_cell_angle_beta 90.00
_cell_angle_gamma 90.00
_space_group_name_H-M_alt 'F -4 3 m'
_space_group_IT_number 216
_space_group_name_Hall 'F -4 2 3'
loop_
_atom_site_label
_atom_site_type_symbol
_atom_site_fract_x
_atom_site_fract_y
_atom_site_fract_z
Lu1 Lu 0.0000 0.0000 0.0000
Cu1 Cu 0.2500 0.2500 0.2500
Sb1 Sb 0.0000 0.0000 0.5000
Rh1 Rh 0.2500 0.2500 0.7500



Among the records above, which one has the highest volume? TlInIBr



volume of number 1 (TlInIBr)? 162.75 Å³/f.u.



What is the uncorrected formation energy in the first record? -245.8 kJ/mol of formula units